Record 1
First-principles (PBE-GGA) data for Cs2BeCrS4 after structural relaxation, as listed in the Alexandria database.

Results
electronic total energy: -4.963 eV/atom
space group: Fddd, No. 70
E_form (uncorrected): -1017 meV per atom

Lattice parameters (Å, degrees): 5.4965 7.5358 12.7875 85.50 77.59 68.61
With the nearest neighbours (Å) after each atom.
Element x y z (fractional)
Cs  0.1761  0.0000  0.6478  8 S 3.64-3.82
Cs  0.8239  0.0000  0.3522  8 S 3.64-3.82
Cs  0.5739  0.5000  0.8522  8 S 3.64-3.82
Cs  0.9261  0.5000  0.1478  8 S 3.64-3.82
Be  0.2500  0.5000  0.5000  4 S 2.14
Be  0.5000  0.0000  0.0000  4 S 2.14
Cr  0.7500  0.5000  0.5000  4 S 2.18
Cr  0.0000  0.0000  0.0000  4 S 2.18
S  0.2932  0.8320  0.0946  1 Be 2.14, 1 Cr 2.18
S  0.2197  0.1680  0.9054  1 Be 2.14, 1 Cr 2.18
S  0.8749  0.8320  0.9054  1 Be 2.14, 1 Cr 2.18
S  0.6122  0.1680  0.0946  1 Be 2.14, 1 Cr 2.18
S  0.4568  0.6680  0.4054  1 Be 2.14, 1 Cr 2.18
S  0.5303  0.3320  0.5946  1 Be 2.14, 1 Cr 2.18
S  0.8751  0.6680  0.5946  1 Be 2.14, 1 Cr 2.18
S  0.1378  0.3320  0.4054  1 Be 2.14, 1 Cr 2.18


Record 2
First-principles (PBE-GGA) data for Cs2Be2CrSe4 after structural relaxation, as listed in the Alexandria database.

Results
electronic total energy: -4.453 eV/atom
space group: C2/m, No. 12
E_form (uncorrected): -818 meV per atom

Lattice parameters (Å, degrees): 3.8224 7.9076 8.4892 107.17 103.01 90.00
With the nearest neighbours (Å) after each atom.
Element x y z (fractional)
Cs  0.1234  0.5208  0.2469  7 Se 3.61-3.75, 3 Cs 3.82-4.00, 1 Cr 4.00, 2 Be 4.01
Cs  0.8766  0.4792  0.7531  7 Se 3.61-3.75, 3 Cs 3.82-4.00, 1 Cr 4.00, 2 Be 4.01
Be  0.6809  0.9882  0.3617  4 Se 2.26-2.32
Be  0.3191  0.0118  0.6383  4 Se 2.26-2.32
Cr  0.0000  0.0000  0.0000  4 Se 2.58
Se  0.2168  0.1576  0.4336  3 Be 2.31-2.32
Se  0.7832  0.8424  0.5664  3 Be 2.31-2.32
Se  0.5425  0.8241  0.0850  1 Be 2.26
Se  0.4575  0.1759  0.9150  1 Be 2.26


Record 3
First-principles (PBE-GGA) data for BeCrCu2 after structural relaxation, as listed in the Alexandria database.

Results
electronic total energy: -5.187 eV/atom
space group: Pm, No. 6
E_form: 198.9 meV/atom

Lattice parameters (Å, degrees): 3.8031 2.4032 4.9891 76.07 90.00 90.00
With the nearest neighbours (Å) after each atom.
Element x y z (fractional)
Cr  0.5000  0.6983  0.7274  2 Cr 2.40, 4 Be 2.47-2.48, 7 Cu 2.55-2.62
Cu  0.0000  0.0603  0.0054  1 Be 2.38, 6 Cu 2.40-2.55, 4 Cr 2.62
Cu  0.5000  0.4384  0.2540  2 Be 2.28, 4 Cu 2.40-2.55, 1 Cr 2.55
Be  0.0000  0.3030  0.5132  3 Cu 2.28-2.38, 2 Be 2.40, 4 Cr 2.47-2.48


Record 4
First-principles (PBE-GGA) data for BeCrCu after structural relaxation, as listed in the Alexandria database.

Results
electronic total energy: -5.618 eV/atom
space group: P3m1, No. 156
ΔE to the lowest computed polymorph: 0.1712 eV/atom
E_form: 197.4 meV/atom

Lattice parameters (Å, degrees): 2.4710 2.4710 6.1132 90.00 90.00 120.00
With the nearest neighbours (Å) after each atom.
Element x y z (fractional)
Cr  0.3333  0.6667  0.3206  3 Be 2.44, 6 Cr 2.47, 3 Cu 2.63
Cu  0.6667  0.3333  0.6828  3 Be 2.39, 6 Cu 2.47, 3 Cr 2.63
Be  0.0000  0.0000  0.9967  3 Cu 2.39, 3 Cr 2.44, 6 Be 2.47


Record 5
First-principles (PBE-GGA) data for Be2Cr2Cu after structural relaxation, as listed in the Alexandria database.

Results
electronic total energy: -5.694 eV/atom
space group: I4/mmm, No. 139
ΔE to the lowest computed polymorph: 0.2986 eV/atom
E_form: 464.6 meV/atom

Lattice parameters (Å, degrees): 3.1456 3.1456 6.1233 75.12 75.12 90.00
With the nearest neighbours (Å) after each atom.
Element x y z (fractional)
Cr  0.7500  0.2500  0.5000  4 Cr 2.22, 4 Be 2.41
Cr  0.2500  0.7500  0.5000  4 Cr 2.22, 4 Be 2.41
Cu  0.0000  0.0000  0.0000  8 Be 2.45
Be  0.4097  0.4097  0.1806  1 Be 2.06
Be  0.5903  0.5903  0.8194  1 Be 2.06


Record 6
First-principles (PBE-GGA) data for BeCrCu after structural relaxation, as listed in the Alexandria database.

Results
electronic total energy: -5.740 eV/atom
space group: Fmm2, No. 42
ΔE to the lowest computed polymorph: 0.0495 eV/atom
E_form: 75.6 meV/atom

Lattice parameters (Å, degrees): 5.7054 5.7071 2.4030 77.80 77.88 24.31
With the nearest neighbours (Å) after each atom.
Element x y z (fractional)
Cr  0.6578  0.6578  0.3422  4 Cr 2.40, 4 Be 2.43-2.44, 4 Cu 2.65
Cu  0.3444  0.3444  0.6556  4 Be 2.38-2.39, 4 Cu 2.40, 4 Cr 2.65
Be  0.9978  0.9978  0.0022  4 Cu 2.38-2.39, 4 Be 2.40, 4 Cr 2.43-2.44


Record 7
First-principles (PBE-GGA) data for BeCrCu2 after structural relaxation, as listed in the Alexandria database.

Results
electronic total energy: -5.130 eV/atom
space group: C2/m, No. 12
E_form: 255.8 meV/atom

Lattice parameters (Å, degrees): 4.5951 4.8438 2.3464 79.63 82.46 116.27
With the nearest neighbours (Å) after each atom.
Element x y z (fractional)
Cr  0.5000  0.5000  0.0000  2 Cr 2.35, 2 Be 2.44, 4 Cu 2.49
Cu  0.0000  0.0000  0.0000  4 Cu 2.35-2.44, 2 Cr 2.49, 2 Be 2.49
Cu  0.5000  0.0000  0.5000  4 Cu 2.35-2.44, 2 Be 2.49, 2 Cr 2.49
Be  0.0000  0.5000  0.5000  2 Be 2.35, 2 Cr 2.44, 4 Cu 2.49


Record 8
First-principles (PBE-GGA) data for BeCrCu4 after structural relaxation, as listed in the Alexandria database.

Results
electronic total energy: -4.660 eV/atom
space group: F-43m, No. 216
E_form: 295.6 meV/atom

Lattice parameters (Å, degrees): 4.7524 4.7524 4.7524 60.00 60.00 60.00
With the nearest neighbours (Å) after each atom.
Element x y z (fractional)
Be  0.7500  0.7500  0.7500  12 Cu 2.79, 4 Cr 2.91
Cr  0.0000  0.0000  0.0000  12 Cu 2.79, 4 Be 2.91
Cu  0.8741  0.3753  0.3753  6 Cu 2.37-2.38
Cu  0.3753  0.3753  0.8741  6 Cu 2.37-2.38
Cu  0.3753  0.8741  0.3753  6 Cu 2.37-2.38
Cu  0.3753  0.3753  0.3753  6 Cu 2.37-2.38


Record 9
First-principles (PBE-GGA) data for BeCrCu2 after structural relaxation, as listed in the Alexandria database.

Results
electronic total energy: -5.174 eV/atom
space group: C2/m, No. 12
E_form: 211.0 meV/atom

Lattice parameters (Å, degrees): 4.5004 4.5004 4.3522 75.62 75.62 31.67
With the nearest neighbours (Å) after each atom.
Element x y z (fractional)
Cr  0.2500  0.2500  0.2500  2 Cr 2.46, 4 Be 2.50, 6 Cu 2.56-2.61
Cu  0.0176  0.0176  0.9883  2 Be 2.36, 6 Cu 2.46-2.54, 3 Cr 2.56-2.61
Cu  0.4824  0.4824  0.5117  2 Be 2.36, 6 Cu 2.46-2.54, 3 Cr 2.56-2.61
Be  0.7500  0.7500  0.7500  4 Cu 2.36, 2 Be 2.46, 4 Cr 2.50


Record 10
First-principles (PBE-GGA) data for BeCrCu2 after structural relaxation, as listed in the Alexandria database.

Results
electronic total energy: -5.182 eV/atom
space group: P2/m, No. 10
E_form: 203.1 meV/atom

Lattice parameters (Å, degrees): 3.8890 2.3934 4.8672 76.73 90.00 90.00
With the nearest neighbours (Å) after each atom.
Element x y z (fractional)
Cr  0.5000  0.7500  0.7500  2 Cr 2.39, 2 Be 2.45, 8 Cu 2.55-2.66
Cu  0.0000  0.0769  0.0130  2 Be 2.35, 5 Cu 2.39-2.62, 2 Cr 2.55
Cu  0.0000  0.4231  0.4870  2 Be 2.35, 5 Cu 2.39-2.62, 2 Cr 2.55
Be  0.5000  0.2500  0.2500  4 Cu 2.35, 2 Be 2.39, 2 Cr 2.45


Record 11
First-principles (PBE-GGA) data for BeCr3Cu after structural relaxation, as listed in the Alexandria database.

Results
electronic total energy: -6.384 eV/atom
space group: Pm-3m, No. 221
ΔE to the lowest computed polymorph: 0.0000 eV/atom
E_form: 954.4 meV/atom

Lattice parameters (Å, degrees): 3.9246 3.9246 3.9246 90.00 90.00 90.00
With the nearest neighbours (Å) after each atom.
Element x y z (fractional)
Cr  0.0000  0.5000  0.0000  2 Be 1.96
Cr  0.0000  0.0000  0.5000  2 Be 1.96
Cr  0.5000  0.0000  0.0000  2 Be 1.96
Cu  0.5000  0.5000  0.5000  12 Cr 2.78
Be  0.0000  0.0000  0.0000  6 Cr 1.96


Record 12
First-principles (PBE-GGA) data for BeCrCu after structural relaxation, as listed in the Alexandria database.

Results
electronic total energy: -5.278 eV/atom
space group: F-43m, No. 216
ΔE to the lowest computed polymorph: 0.5109 eV/atom
E_form: 537.0 meV/atom

Lattice parameters (Å, degrees): 3.7728 3.7728 3.7728 60.00 60.00 60.00
With the nearest neighbours (Å) after each atom.
Element x y z (fractional)
Cr  0.0000  0.0000  0.0000  4 Be 2.31
Cu  0.5000  0.5000  0.5000  4 Be 2.31
Be  0.7500  0.7500  0.7500  4 Cr 2.31, 4 Cu 2.31


Summary of spin magnetization in μB/f.u.
2.00; 4.00; 0.74; 0.22; 0.00; 0.00; 0.63; 3.47; 1.64; 0.75; 0.00; 2.96
(order as listed above)